(1)
HfTiHg2: optimized geometry, GGA-PBE.

POSCAR file:
```
HfTiHg2
1.0
3.407 0.000 0.000
0.000 3.407 0.000
0.000 0.000 6.901
Hf Ti Hg
1 1 2
Direct
0.000 0.000 0.000
0.000 0.000 0.500
0.500 0.500 0.264
0.500 0.500 0.736
```

Calculated values
Calculated formation energy: 15 meV per atom
Excess energy over the best structure of this formula in the dataset: 0.032 eV per atom

---

(2)
TbTm3Sb: optimized geometry, GGA-PBE.

POSCAR file:
```
TbTm3Sb
1.0
10.514 0.000 0.000
0.000 3.945 0.000
0.000 0.000 14.317
Tb Tm Sb
4 12 4
Direct
0.164 0.250 0.029
0.336 0.750 0.529
0.664 0.250 0.471
0.836 0.750 0.971
0.085 0.250 0.425
0.115 0.750 0.234
0.133 0.750 0.817
0.367 0.250 0.317
0.385 0.250 0.734
0.415 0.750 0.925
0.585 0.250 0.075
0.615 0.750 0.266
0.633 0.750 0.683
0.867 0.250 0.183
0.885 0.250 0.766
0.915 0.750 0.575
0.129 0.250 0.638
0.371 0.750 0.138
0.629 0.250 0.862
0.871 0.750 0.362
```

Calculated values
Formation energy (no corrections): -0.368 eV/atom

---

(3)
HgGeSe3: optimized geometry, GGA-PBE.

POSCAR file:
```
HgGeSe3
1.0
5.055 0.000 0.000
0.000 5.055 0.000
0.000 0.000 5.055
Hg Ge Se
1 1 3
Direct
0.000 0.000 0.000
0.500 0.500 0.500
0.000 0.500 0.500
0.500 0.000 0.500
0.500 0.500 0.000
```

Calculated values
Excess energy over the best structure of this formula in the dataset: 0.515 eV per atom
Formation energy (no corrections): 0.348 eV/atom

---

| no. | magnetic moment (μB per atom) | total DFT energy (no corrections) (eV per atom) |
| --- | --- | --- |
| 1 | 0.000 | -4.598 |
| 2 | 0.075 | -4.801 |
| 3 | 0.000 | -2.726 |